Record 1
VASP calculation (PBEsol) on a relaxed ScRe2Os crystal.

Results
* formation energy from the elements: -31 meV/atom
* E_tot: -11.402 eV per atom
* E above lowest polymorph: 0.000 eV/atom
* symmetry: Pmmm (47)
* Fermi-level density of states: 2.26 states/eV/f.u.

abc: 3.070 4.366 4.518
angles: 90.00 90.00 90.00
Fractional coordinates of all 4 atoms:
Sc (0.000, 0.000, 0.000)
Re (0.000, 0.500, 0.500)
Re (0.500, 0.000, 0.500)
Os (0.500, 0.500, 0.000)


Record 2
VASP calculation (PBEsol) on a relaxed ScReOs crystal.

Results
* formation energy from the elements: 384 meV/atom
* E_tot: -10.334 eV per atom
* E above lowest polymorph: 0.000 eV/atom
* symmetry: F-43m (216)
* Fermi-level density of states: 2.69 states/eV/f.u.

abc: 4.254 4.254 4.254
angles: 60.00 60.00 60.00
Fractional coordinates of all 3 atoms:
Sc (0.000, 0.000, 0.000)
Re (0.250, 0.250, 0.250)
Os (0.500, 0.500, 0.500)


Record 3
VASP calculation (PBEsol) on a relaxed ReOsSe2 crystal.

Results
* E_tot: -8.182 eV per atom
* formation energy (no corrections): 0.130 eV/atom
* E above lowest polymorph: 0.000 eV/atom
* symmetry: P4mm (99)
* Fermi-level density of states: 1.80 states/eV/f.u.

abc: 2.902 2.902 8.073
angles: 90.00 90.00 90.00
Fractional coordinates of all 4 atoms:
Re (0.000, 0.000, 0.000)
Os (0.500, 0.500, 0.767)
Se (0.000, 0.000, 0.571)
Se (0.500, 0.500, 0.191)


Record 4
VASP calculation (PBEsol) on a relaxed ReOsSe2 crystal.

Results
* E_tot: -7.305 eV per atom
* formation energy (no corrections): 1.007 eV/atom
* E above lowest polymorph: 0.877 eV/atom
* symmetry: Cmmm (65)
* Fermi-level density of states: 4.85 states/eV/f.u.

abc: 2.835 2.835 8.883
angles: 90.00 90.00 118.80
Fractional coordinates of all 4 atoms:
Re (0.000, 0.000, 0.000)
Os (0.000, 0.000, 0.500)
Se (0.500, 0.500, 0.250)
Se (0.500, 0.500, 0.750)


Record 5
VASP calculation (PBEsol) on a relaxed ReOsSe2 crystal.

Results
* E_tot: -7.815 eV per atom
* formation energy (no corrections): 0.497 eV/atom
* E above lowest polymorph: 0.367 eV/atom
* symmetry: C2/m (12)
* Fermi-level density of states: 2.03 states/eV/f.u.

abc: 4.278 4.278 5.156
angles: 101.21 101.21 40.72
Fractional coordinates of all 4 atoms:
Re (0.000, 0.000, 0.000)
Os (0.500, 0.500, 0.500)
Se (0.256, 0.256, 0.754)
Se (0.744, 0.744, 0.246)


Record 6
VASP calculation (PBEsol) on a relaxed ReOsSe2 crystal.

Results
* E_tot: -7.897 eV per atom
* formation energy (no corrections): 0.415 eV/atom
* E above lowest polymorph: 0.285 eV/atom
* symmetry: Cm (8)
* Fermi-level density of states: 2.06 states/eV/f.u.

abc: 5.011 5.011 5.698
angles: 96.77 96.77 35.53
Fractional coordinates of all 4 atoms:
Re (0.000, 0.000, 0.000)
Os (0.282, 0.282, 0.980)
Se (0.442, 0.442, 0.671)
Se (0.678, 0.678, 0.257)


Record 7
VASP calculation (PBEsol) on a relaxed ReOsSe4 crystal.

Results
* E_tot: -4.982 eV per atom
* formation energy (no corrections): 1.843 eV/atom
* symmetry: F-43m (216)
* Fermi-level density of states: 6.62 states/eV/f.u.

abc: 5.263 5.263 5.263
angles: 60.00 60.00 60.00
Fractional coordinates of all 6 atoms:
Re (0.000, 0.000, 0.000)
Os (0.250, 0.250, 0.250)
Se (0.126, 0.625, 0.625)
Se (0.625, 0.126, 0.625)
Se (0.625, 0.625, 0.126)
Se (0.625, 0.625, 0.625)


Record 8
VASP calculation (PBEsol) on a relaxed Re2SiOs crystal.

Results
* E_tot: -11.315 eV per atom
* formation energy (no corrections): -0.159 eV/atom
* symmetry: P4mm (99)
* Fermi-level density of states: 3.12 states/eV/f.u.

abc: 2.863 2.863 6.625
angles: 90.00 90.00 90.00
Fractional coordinates of all 4 atoms:
Re (0.000, 0.000, 0.000)
Re (0.500, 0.500, 0.271)
Si (0.000, 0.000, 0.502)
Os (0.500, 0.500, 0.720)